First-principles (GGA-PBE) data for a relaxed structure of Nd2PbI, as listed in Alexandria.

Cell and atoms, written as extended XYZ:
```
4
Lattice="-0.484 -2.376 -2.858 3.072 -1.878 1.040 -4.797 -5.064 5.022" Properties=species:S:1:pos:R:3 pbc="T T T"
Nd -3.604 -3.805 3.773
Nd -1.193 -1.259 1.249
I -1.105 -4.659 1.602
Pb 1.294 -2.127 -0.909
```

## Properties
energy = -4.3811 eV per atom
SG = P4/mmm, No. 123
offset from the most stable computed form = 0.0782 eV per atom
spin magnetization = 0.000 μB/f.u.

First-principles (GGA-PBE) data for a relaxed structure of NbPdS2N, as listed in Alexandria.

Cell and atoms, written as extended XYZ:
```
5
Lattice="4.774 0.000 0.000 0.000 4.774 0.000 0.000 0.000 3.686" Properties=species:S:1:pos:R:3 pbc="T T T"
S 0.000 2.387 0.000
S 2.387 0.000 0.000
Nb 2.387 2.387 1.843
Pd 0.000 0.000 0.000
N 0.000 0.000 1.843
```

## Properties
energy = -5.4665 eV per atom
SG = P4/mmm, No. 123
offset from the most stable computed form = 0.6409 eV per atom
spin magnetization = 0.000 μB/f.u.

First-principles (GGA-PBE) data for a relaxed structure of SiAg5, as listed in Alexandria.

Cell and atoms, written as extended XYZ:
```
6
Lattice="2.551 -4.419 0.000 2.551 4.419 0.000 0.000 0.000 4.614" Properties=species:S:1:pos:R:3 pbc="T T T"
Ag 1.729 -2.995 0.000
Ag 1.644 0.000 0.000
Ag 2.551 -1.473 2.307
Ag 1.729 2.995 0.000
Ag 2.551 1.473 2.307
Si 0.000 0.000 2.307
```

## Properties
energy = -3.1512 eV per atom
SG = P-62m, No. 189
offset from the most stable computed form = 0.0000 eV per atom
spin magnetization = 0.000 μB/f.u.